Entry 1:
First-principles (PBEsol) data for a relaxed Tl2CdMoAs crystal, as listed in the Alexandria database.

a b c (Å): 5.3973 5.3973 4.7530
angles (deg): 90.00 90.00 90.00
Last column: nearest neighbours and their distance in Å.
Space group P4/mmm (No. 123)
One atom of each set of equivalent atoms:
Tl 0.0000 0.5000 0.0000  2 Mo 2.70
Cd 0.0000 0.0000 0.5000  8 Tl 3.60, 4 As 3.82
Mo 0.5000 0.5000 0.0000  2 As 2.38
As 0.5000 0.5000 0.5000  2 Mo 2.38

## Properties
Density in g/cm³: 8.30
Total magnetic moment in Bohr magnetons per cell: 0.0
Crystal system: tetragonal
DFT formation energy in eV per atom: 0.4465

Entry 2:
First-principles (PBEsol) data for a relaxed CdAsS2N crystal, as listed in the Alexandria database.

a b c (Å): 4.5913 4.5913 3.8967
angles (deg): 90.00 90.00 90.00
Last column: nearest neighbours and their distance in Å.
Space group P4/mmm (No. 123)
One atom of each set of equivalent atoms:
Cd 0.0000 0.0000 0.0000  8 S 3.01, 4 As 3.25
As 0.5000 0.5000 0.0000  2 N 1.95
S 0.0000 0.5000 0.5000  2 N 2.30
N 0.5000 0.5000 0.5000  2 As 1.95

## Properties
Density in g/cm³: 5.37
Total energy in eV/atom: -3.88
Total magnetic moment in Bohr magnetons per cell: 0.0
Crystal system: tetragonal

Entry 3:
First-principles (PBEsol) data for a relaxed NaCdAsS3 crystal, as listed in the Alexandria database.

a b c (Å): 5.6150 16.3607 7.9091
angles (deg): 90.00 134.43 90.00
Last column: nearest neighbours and their distance in Å.
Space group P2_1/c (No. 14)
One atom of each set of equivalent atoms:
Na 0.2015 0.0749 0.2336  6 S 2.83-3.07
Cd 0.2409 0.7496 0.2428  4 S 2.57-2.64
As 0.2783 0.0978 0.7677  3 S 2.27-2.31
S 0.1931 0.2373 0.7227  1 As 2.31
S 0.3566 0.5965 0.7721  1 As 2.28
S 0.3646 0.5962 0.3317  1 As 2.27

## Properties
Density in g/cm³: 3.92
Total energy in eV/atom: -4.08
Total magnetic moment in Bohr magnetons per cell: 0.0
Crystal system: monoclinic

Entry 4:
First-principles (PBEsol) data for a relaxed NbCdAs3 crystal, as listed in the Alexandria database.

a b c (Å): 4.9596 4.9596 4.9596
angles (deg): 90.00 90.00 90.00
Last column: nearest neighbours and their distance in Å.
Space group Pm-3m (No. 221)
One atom of each set of equivalent atoms:
Nb 0.0000 0.0000 0.0000  6 As 2.48
Cd 0.5000 0.5000 0.5000  12 As 3.51
As 0.0000 0.0000 0.5000  2 Nb 2.48

## Properties
Density in g/cm³: 5.85
Total magnetic moment in Bohr magnetons per cell: 0.0
Crystal system: cubic
DFT formation energy in eV per atom: 0.3166

Entry 5:
First-principles (PBEsol) data for a relaxed Nb2CdTeAs crystal, as listed in the Alexandria database.

a b c (Å): 5.1656 5.1656 5.0516
angles (deg): 90.00 90.00 90.00
Last column: nearest neighbours and their distance in Å.
Space group P4/mmm (No. 123)
One atom of each set of equivalent atoms:
Nb 0.0000 0.5000 0.0000  2 Cd 2.58
Cd 0.0000 0.0000 0.0000  2 Te 2.53, 4 Nb 2.58
Te 0.0000 0.0000 0.5000  2 Cd 2.53
As 0.5000 0.5000 0.5000  8 Nb 3.61, 4 Te 3.65

## Properties
Density in g/cm³: 6.17
Total energy in eV/atom: -4.44
Total magnetic moment in Bohr magnetons per cell: 3.3
Crystal system: tetragonal

Entry 6:
First-principles (PBEsol) data for a relaxed NbCdTeAs2 crystal, as listed in the Alexandria database.

a b c (Å): 5.2609 5.2609 5.1417
angles (deg): 90.00 90.00 90.00
Last column: nearest neighbours and their distance in Å.
Space group P4/mmm (No. 123)
One atom of each set of equivalent atoms:
Nb 0.0000 0.0000 0.0000  8 As 3.68, 4 Cd 3.72
Cd 0.5000 0.5000 0.0000  2 Te 2.57
Te 0.5000 0.5000 0.5000  2 Cd 2.57, 4 As 2.63
As 0.0000 0.5000 0.5000  2 Te 2.63

## Properties
Density in g/cm³: 5.63
Total energy in eV/atom: -3.71
Total magnetic moment in Bohr magnetons per cell: 2.8
Crystal system: tetragonal

Entry 7:
First-principles (PBEsol) data for a relaxed Cd3NiAs crystal, as listed in the Alexandria database.

a b c (Å): 4.7981 4.7981 4.7981
angles (deg): 90.00 90.00 90.00
Last column: nearest neighbours and their distance in Å.
Space group Pm-3m (No. 221)
One atom of each set of equivalent atoms:
Cd 0.0000 0.0000 0.5000  2 Ni 2.40
Ni 0.0000 0.0000 0.0000  6 Cd 2.40
As 0.5000 0.5000 0.5000  12 Cd 3.39

## Properties
Density in g/cm³: 7.08
Total magnetic moment in Bohr magnetons per cell: 0.0
Crystal system: cubic
DFT formation energy in eV per atom: 0.4685

Entry 8:
First-principles (PBEsol) data for a relaxed CdNiAs2 crystal, as listed in the Alexandria database.

a b c (Å): 6.2467 3.6261 6.6816
angles (deg): 90.00 108.42 90.00
Last column: nearest neighbours and their distance in Å.
Space group C2/m (No. 12)
One atom of each set of equivalent atoms:
Cd 0.0000 0.0000 0.0000  6 As 2.91-2.92
Ni 0.0000 0.5000 0.5000  6 As 2.38
As 0.2266 0.0000 0.6791  3 Ni 2.38

## Properties
Density in g/cm³: 7.42
Total magnetic moment in Bohr magnetons per cell: 0.0
Crystal system: monoclinic
DFT formation energy in eV per atom: -0.0808

Entry 9:
First-principles (PBEsol) data for a relaxed Cd2NiAs crystal, as listed in the Alexandria database.

a b c (Å): 2.9512 2.9512 27.7786
angles (deg): 90.00 90.00 120.00
Last column: nearest neighbours and their distance in Å.
Space group R-3m (No. 166, hexagonal axes)
One atom of each set of equivalent atoms:
Cd 0.0000 0.0000 0.2396  3 Ni 2.65, 6 Cd 2.95
Ni 0.0000 0.0000 0.5000  6 Cd 2.65, 6 Ni 2.95
As 0.0000 0.0000 0.0000  6 As 2.95, 6 Cd 3.11

## Properties
Density in g/cm³: 8.52
Total magnetic moment in Bohr magnetons per cell: 0.0
Crystal system: trigonal
DFT formation energy in eV per atom: 0.2108

Entry 10:
First-principles (PBEsol) data for a relaxed CdNiAs3 crystal, as listed in the Alexandria database.

a b c (Å): 4.9888 4.9888 4.9888
angles (deg): 90.00 90.00 90.00
Last column: nearest neighbours and their distance in Å.
Space group Pm-3m (No. 221)
One atom of each set of equivalent atoms:
Cd 0.0000 0.0000 0.0000  6 As 2.49
Ni 0.5000 0.5000 0.5000  12 As 3.53
As 0.0000 0.0000 0.5000  2 Cd 2.49

## Properties
Density in g/cm³: 5.29
Total magnetic moment in Bohr magnetons per cell: 0.4
Crystal system: cubic
DFT formation energy in eV per atom: 1.4955

Entry 11:
First-principles (PBEsol) data for a relaxed Cd2NiAs crystal, as listed in the Alexandria database.

a b c (Å): 6.5148 6.5148 6.5148
angles (deg): 90.00 90.00 90.00
Last column: nearest neighbours and their distance in Å.
Space group F-43m (No. 216)
One atom of each set of equivalent atoms:
Cd 0.0000 0.0000 0.0000  4 Cd 2.82, 4 As 2.82
Cd 0.2500 0.2500 0.2500  4 Cd 2.82, 4 Ni 2.82
Ni 0.0000 0.0000 0.5000  4 As 2.82, 4 Cd 2.82
As 0.2500 0.2500 0.7500  4 Cd 2.82, 4 Ni 2.82

## Properties
Density in g/cm³: 8.61
Total magnetic moment in Bohr magnetons per cell: 0.0
Crystal system: cubic
DFT formation energy in eV per atom: 0.2655

Entry 12:
First-principles (PBEsol) data for a relaxed Cd2As2O7 crystal, as listed in the Alexandria database.

a b c (Å): 6.9816 9.0947 4.9039
angles (deg): 90.00 101.65 90.00
Last column: nearest neighbours and their distance in Å.
Space group C2/m (No. 12)
One atom of each set of equivalent atoms:
Cd 0.0000 0.1965 0.0000  6 O 2.23-2.35
As 0.2299 0.5000 0.4089  4 O 1.70-1.75
O 0.0000 0.5000 0.5000  2 As 1.75
O 0.1094 0.0000 0.2815  1 As 1.70
O 0.2371 0.3432 0.2227  1 As 1.70

## Properties
Density in g/cm³: 5.30
Total energy in eV/atom: -5.70
Total magnetic moment in Bohr magnetons per cell: 0.0
Crystal system: monoclinic

Entry 13:
First-principles (PBEsol) data for a relaxed Cd2AsO crystal, as listed in the Alexandria database.

a b c (Å): 5.7329 5.7329 10.3107
angles (deg): 90.00 90.00 90.00
Last column: nearest neighbours and their distance in Å.
Space group I-42d (No. 122)
One atom of each set of equivalent atoms:
Cd 0.1854 0.2500 0.1250  2 O 2.20
As 0.0000 0.0000 0.5000  4 Cd 2.64
O 0.0000 0.0000 0.0000  4 Cd 2.20

## Properties
Density in g/cm³: 6.19
Total energy in eV/atom: -3.49
Total magnetic moment in Bohr magnetons per cell: 0.0
Crystal system: tetragonal

Entry 14:
First-principles (PBEsol) data for a relaxed CdAsSe2O crystal, as listed in the Alexandria database.

a b c (Å): 4.5381 4.5381 4.3559
angles (deg): 90.00 90.00 90.00
Last column: nearest neighbours and their distance in Å.
Space group P4/mmm (No. 123)
One atom of each set of equivalent atoms:
Cd 0.0000 0.0000 0.0000  8 Se 3.15, 4 As 3.21
As 0.5000 0.5000 0.0000  2 O 2.18
Se 0.0000 0.5000 0.5000  2 O 2.27
O 0.5000 0.5000 0.5000  2 As 2.18, 4 Se 2.27

## Properties
Density in g/cm³: 6.69
Total energy in eV/atom: -3.58
Total magnetic moment in Bohr magnetons per cell: 0.0
Crystal system: tetragonal